A relaxed structure of LiLa2Ag, computed with PBE.

```
LiLa2Ag
1.0
-4.3033 4.3033 3.1997
4.3033 -4.3033 3.1997
4.3033 4.3033 -3.1997
Li La Ag
2 4 2
Direct
0.0000 0.0000 0.0000
0.7500 0.2500 0.5000
0.1425 0.6250 0.0175
0.3750 0.3925 0.5175
0.6075 0.1250 0.9825
0.8750 0.8575 0.4825
0.2500 0.7500 0.5000
0.5000 0.5000 0.0000
```

Results
offset from the most stable computed form = 227 meV/atom
ΔH_f (0 K) = 0.148 eV/atom
M_tot = 0.0 μB/f.u.

---

A relaxed structure of KTaS2O8, computed with PBE.

```
KTaS2O8
1.0
5.2576 0.0000 0.0000
-2.6288 4.5532 0.0000
0.0000 0.0000 7.9653
K Ta S O
1 1 2 8
Direct
0.0000 0.0000 0.0000
0.0000 0.0000 0.5000
0.3333 0.6667 0.2681
0.6667 0.3333 0.7319
0.1788 0.3576 0.3317
0.1788 0.8212 0.3317
0.3333 0.6667 0.0857
0.3576 0.1788 0.6683
0.6424 0.8212 0.3317
0.6667 0.3333 0.9143
0.8212 0.1788 0.6683
0.8212 0.6424 0.6683
```

Results
M_tot = 2.0 μB/f.u.
formation energy (no corrections) = -18.84 eV per formula unit

---

A relaxed structure of ZrAlGa2F, computed with PBE.

```
ZrAlGa2F
1.0
5.4363 0.0000 0.0000
0.0000 5.4363 0.0000
0.0000 0.0000 4.0940
Zr Al Ga F
1 1 2 1
Direct
0.0000 0.0000 0.0000
0.5000 0.5000 0.5000
0.0000 0.5000 0.0000
0.5000 0.0000 0.0000
0.0000 0.0000 0.5000
```

Results
M_tot = 0.0 μB/f.u.
formation energy (no corrections) = -1.93 eV per formula unit

---

A relaxed structure of YInPb, computed with PBE.

```
YInPb
1.0
4.4510 0.0000 0.0000
0.0000 4.4510 0.0000
0.0000 0.0000 8.4937
Y In Pb
2 2 2
Direct
0.2500 0.2500 0.1867
0.7500 0.7500 0.8133
0.2500 0.7500 0.5000
0.7500 0.2500 0.5000
0.2500 0.2500 0.8142
0.7500 0.7500 0.1858
```

Results
offset from the most stable computed form = 91 meV/atom
ΔH_f (0 K) = -0.304 eV/atom
M_tot = 0.0 μB/f.u.

---

A relaxed structure of Zn2AgP, computed with PBE.

```
Zn2AgP
1.0
2.9576 0.0000 0.0000
0.0000 3.8099 0.0000
0.0000 0.0000 6.0013
Zn Ag P
2 1 1
Direct
0.0000 0.0000 0.2378
0.0000 0.0000 0.7622
0.5000 0.5000 0.0000
0.0000 0.5000 0.5000
```

Results
ΔH_f (0 K) = 0.148 eV/atom
M_tot = 0.0 μB/f.u.

---

A relaxed structure of SrOsI2N, computed with PBE.

```
SrOsI2N
1.0
5.7523 0.0000 0.0000
0.0000 5.7523 0.0000
0.0000 0.0000 3.8220
Sr Os I N
1 1 2 1
Direct
0.0000 0.0000 0.0000
0.5000 0.5000 0.5000
0.0000 0.5000 0.5000
0.5000 0.0000 0.5000
0.5000 0.5000 0.0000
```

Results
offset from the most stable computed form = 0 meV/atom
M_tot = 0.0 μB/f.u.
formation energy (no corrections) = -0.89 eV per formula unit

---

A relaxed structure of ZnCuAu2, computed with PBE.

```
ZnCuAu2
1.0
1.4479 0.8359 8.8619
-1.4479 0.8359 8.8619
0.0000 -1.6718 8.8619
Zn Cu Au
1 1 2
Direct
0.0000 0.0000 0.0000
0.2599 0.2599 0.2599
0.5124 0.5124 0.5124
0.7497 0.7497 0.7497
```

Results
ΔH_f (0 K) = -0.031 eV/atom
M_tot = 0.0 μB/f.u.

---

A relaxed structure of RbNaCd2, computed with PBE.

```
RbNaCd2
1.0
5.2097 0.0000 0.0000
0.0000 8.7238 0.0000
-2.5883 0.0000 6.9473
Rb Na Cd
2 2 4
Direct
0.0656 0.2500 0.1323
0.9344 0.7500 0.8677
0.3487 0.2500 0.6994
0.6513 0.7500 0.3006
0.2456 0.5820 0.4908
0.2456 0.9180 0.4908
0.7544 0.0820 0.5092
0.7544 0.4180 0.5092
```

Results
offset from the most stable computed form = 10 meV/atom
ΔH_f (0 K) = -0.053 eV/atom
M_tot = 0.0 μB/f.u.

---

A relaxed structure of Al3Ga4, computed with PBE.

```
Al3Ga4
1.0
10.5362 0.0000 0.0000
-5.2681 9.1246 0.0000
0.0000 0.0000 2.8216
Al Ga
6 8
Direct
0.0922 0.4665 0.2500
0.3743 0.9078 0.2500
0.4665 0.3743 0.7500
0.5335 0.6257 0.2500
0.6257 0.0922 0.7500
0.9078 0.5335 0.7500
0.0719 0.8049 0.2500
0.1951 0.2670 0.2500
0.2670 0.0719 0.7500
0.3333 0.6667 0.7500
0.6667 0.3333 0.2500
0.7330 0.9281 0.2500
0.8049 0.7330 0.7500
0.9281 0.1951 0.7500
```

Results
offset from the most stable computed form = 47 meV/atom
ΔH_f (0 K) = 0.093 eV/atom
M_tot = 0.0 μB/f.u.

---

A relaxed structure of Li2CuTc, computed with PBE.

```
Li2CuTc
1.0
2.5327 0.0000 0.0000
0.0000 2.5327 0.0000
0.0000 0.0000 8.9418
Li Cu Tc
2 1 1
Direct
0.0000 0.0000 0.0000
0.5000 0.5000 0.2949
0.5000 0.5000 0.7735
0.0000 0.0000 0.5406
```

Results
offset from the most stable computed form = 32 meV/atom
ΔH_f (0 K) = 0.149 eV/atom
M_tot = 0.0 μB/f.u.

---

A relaxed structure of RbSi2Rh, computed with PBE.

```
RbSi2Rh
1.0
0.0000 3.3340 3.3340
3.3340 0.0000 3.3340
3.3340 3.3340 0.0000
Rb Si Rh
1 2 1
Direct
0.0000 0.0000 0.0000
0.2500 0.2500 0.2500
0.7500 0.7500 0.7500
0.5000 0.5000 0.5000
```

Results
offset from the most stable computed form = 851 meV/atom
M_tot = 0.0 μB/f.u.
formation energy (no corrections) = 2.82 eV per formula unit

---

A relaxed structure of NiBOs3, computed with PBE.

```
NiBOs3
1.0
4.0342 0.0000 0.0000
0.0000 4.0342 0.0000
0.0000 0.0000 4.0342
Ni B Os
1 1 3
Direct
0.0000 0.0000 0.0000
0.5000 0.5000 0.5000
0.0000 0.5000 0.5000
0.5000 0.0000 0.5000
0.5000 0.5000 0.0000
```

Results
offset from the most stable computed form = 0 meV/atom
ΔH_f (0 K) = 0.524 eV/atom
M_tot = 0.0 μB/f.u.

---

A relaxed structure of YZr2Co2, computed with PBE.

```
YZr2Co2
1.0
5.5716 -1.7949 0.0000
5.5716 1.7949 0.0000
-1.0593 0.0000 5.0085
Y Zr Co
1 2 2
Direct
0.0000 0.0000 0.0000
0.3541 0.3541 0.4328
0.6459 0.6459 0.5672
0.2709 0.2709 0.8690
0.7291 0.7291 0.1310
```

Results
offset from the most stable computed form = 61 meV/atom
ΔH_f (0 K) = -0.155 eV/atom
M_tot = 0.0 μB/f.u.

---

A relaxed structure of YMg2Ag9, computed with PBE.

```
YMg2Ag9
1.0
2.7827 1.6066 9.1071
-2.7827 1.6066 9.1071
0.0000 -3.2132 9.1071
Y Mg Ag
1 2 9
Direct
0.0000 0.0000 0.0000
0.1447 0.1447 0.1447
0.8553 0.8553 0.8553
0.0815 0.5881 0.5881
0.3335 0.3335 0.3335
0.4119 0.4119 0.9185
0.4119 0.9185 0.4119
0.5000 0.5000 0.5000
0.5881 0.0815 0.5881
0.5881 0.5881 0.0815
0.6665 0.6665 0.6665
0.9185 0.4119 0.4119
```

Results
ΔH_f (0 K) = -0.079 eV/atom
M_tot = 0.0 μB/f.u.

---

A relaxed structure of K2H6PdRh, computed with PBE.

```
K2H6PdRh
1.0
-2.4781 2.4781 4.9026
2.4781 -2.4781 4.9026
2.4781 2.4781 -4.9026
K H Pd Rh
2 6 1 1
Direct
0.2500 0.7500 0.5000
0.7500 0.2500 0.5000
0.1708 0.1708 0.0000
0.2487 0.2487 0.4974
0.2487 0.7513 0.0000
0.7513 0.2487 0.0000
0.7513 0.7513 0.5026
0.8292 0.8292 0.0000
0.5000 0.5000 0.0000
0.0000 0.0000 0.0000
```

Results
M_tot = 0.0 μB/f.u.

---

A relaxed structure of BeVCr2, computed with PBE.

```
BeVCr2
1.0
-3.1604 3.1604 2.3461
3.1604 -3.1604 2.3461
3.1604 3.1604 -2.3461
Be V Cr
2 2 4
Direct
0.0000 0.0000 0.0000
0.7500 0.2500 0.5000
0.2500 0.7500 0.5000
0.5000 0.5000 0.0000
0.1005 0.6250 0.9755
0.3750 0.3505 0.4755
0.6495 0.1250 0.0245
0.8750 0.8995 0.5245
```

Results
ΔH_f (0 K) = 0.574 eV/atom
M_tot = 0.0 μB/f.u.

---

A relaxed structure of PmPaFeCu, computed with PBE.

```
PmPaFeCu
1.0
0.0000 3.4220 3.4220
3.4220 0.0000 3.4220
3.4220 3.4220 0.0000
Pm Pa Fe Cu
1 1 1 1
Direct
0.0000 0.0000 0.0000
0.5000 0.5000 0.5000
0.2500 0.2500 0.2500
0.7500 0.7500 0.7500
```

Results
ΔH_f (0 K) = 0.155 eV/atom
M_tot = 0.0 μB/f.u.

---

A relaxed structure of PuAlGa, computed with PBE.

```
PuAlGa
1.0
-1.6221 1.6221 5.7958
1.6221 -1.6221 5.7958
1.6221 1.6221 -5.7958
Pu Al Ga
1 1 1
Direct
0.0000 0.0000 0.0000
0.6862 0.6862 0.0000
0.3175 0.3175 0.0000
```

Results
ΔH_f (0 K) = -0.214 eV/atom
M_tot = 5.8 μB/f.u.

---

A relaxed structure of Ga2TeCl, computed with PBE.

```
Ga2TeCl
1.0
0.0000 3.6456 3.6456
3.6456 0.0000 3.6456
3.6456 3.6456 0.0000
Ga Te Cl
2 1 1
Direct
0.2500 0.2500 0.2500
0.7500 0.7500 0.7500
0.0000 0.0000 0.0000
0.5000 0.5000 0.5000
```

Results
offset from the most stable computed form = 0 meV/atom
M_tot = 0.0 μB/f.u.
formation energy (no corrections) = -1.12 eV per formula unit

---

A relaxed structure of HoEr3Au, computed with PBE.

```
HoEr3Au
1.0
5.6683 -4.1957 0.0000
5.6683 4.1957 0.0000
-4.4005 0.0000 6.3813
Ho Er Au
2 6 2
Direct
0.0803 0.0803 0.2768
0.9197 0.9197 0.7232
0.0116 0.6090 0.2849
0.3910 0.9884 0.7151
0.4538 0.4538 0.6863
0.5462 0.5462 0.3137
0.6090 0.0116 0.2849
0.9884 0.3910 0.7151
0.2296 0.2296 0.0658
0.7704 0.7704 0.9342
```

Results
ΔH_f (0 K) = -0.230 eV/atom
M_tot = 0.0 μB/f.u.

---

V for the records above, in order: 29.63 15.89 24.20 28.04 16.91 25.29 16.09 39.47 19.38 14.34 18.53 13.13 20.03 20.36 12.04 11.72 20.04 20.33 24.23 30.35 Å³ per atom
Calculated total energy for the records above, in order: -3.5075 -6.6427 -4.4288 -4.6077 -2.5547 -5.0461 -3.0119 -1.0827 -3.2409 -4.4235 -4.0873 -8.7053 -7.7090 -3.0218 -3.7048 -7.4489 -6.5468 -7.2473 -3.0393 -4.5388 eV per atom